Arrangement i

Computed, not measured: Pm2YTm4 after structural relaxation at the GGA-PBE level of DFT.

Cell lengths 8.721, 9.466, 10.129 Å; angles 144.27, 97.57, 96.64 degrees
Sites, in units of the cell vectors:
1 Pm 0.569 0.443 0.953
2 Pm 0.725 0.129 0.371
3 Pm 0.610 0.378 0.266
4 Pm 0.123 0.239 0.618
5 Y 0.058 0.584 0.595
6 Y 0.193 0.209 0.943
7 Tm 0.833 0.985 0.940
8 Tm 0.348 0.841 0.278
9 Tm 0.926 0.674 0.979
10 Tm 0.774 0.021 0.623
11 Tm 0.249 0.144 0.232
12 Tm 0.403 0.800 0.592
13 Tm 0.456 0.686 0.836
14 Tm 0.984 0.616 0.274

- calculated volume (A^3/atom) = 31.92
- total magnetization (μB per formula unit) = 0.00

Arrangement ii

Computed, not measured: Pm2YTm4 after structural relaxation at the GGA-PBE level of DFT.

Cell lengths 8.703, 6.601, 10.036 Å; angles 121.18, 103.94, 99.05 degrees
Sites, in units of the cell vectors:
1 Pm 0.464 0.087 0.870
2 Pm 0.427 0.220 0.591
3 Pm 0.798 0.188 0.477
4 Pm 0.300 0.540 0.125
5 Y 0.775 0.446 0.253
6 Y 0.979 0.022 0.006
7 Tm 0.851 0.384 0.884
8 Tm 0.183 0.605 0.799
9 Tm 0.659 0.720 0.621
10 Tm 0.196 0.524 0.440
11 Tm 0.392 0.124 0.213
12 Tm 0.618 0.755 0.014
13 Tm 0.062 0.992 0.671
14 Tm 0.047 0.893 0.286

- calculated volume (A^3/atom) = 32.16
- total magnetization (μB per formula unit) = 0.00

Of them, arrangement i has the highest stability.

Arrangement i

Computed, not measured: Pm2Y4Tm5 after structural relaxation at the GGA-PBE level of DFT.

Cell lengths 3.503, 9.007, 12.495 Å; angles 111.12, 98.06, 90.00 degrees
Sites, in units of the cell vectors:
1 Pm 0.401 0.401 0.803
2 Pm 0.599 0.599 0.197
3 Y 0.000 0.305 0.000
4 Y 0.732 0.732 0.464
5 Y 0.000 0.695 0.000
6 Y 0.268 0.268 0.536
7 Tm 0.857 0.051 0.714
8 Tm 0.857 0.663 0.714
9 Tm 0.143 0.337 0.286
10 Tm 0.143 0.949 0.286
11 Tm 0.500 0.000 0.000

- calculated volume (A^3/atom) = 33.05
- total magnetization (μB per formula unit) = 0.00

Arrangement ii

Computed, not measured: Pm2Y4Tm5 after structural relaxation at the GGA-PBE level of DFT.

Cell lengths 3.666, 9.859, 12.600 Å; angles 123.56, 81.65, 111.84 degrees
Sites, in units of the cell vectors:
1 Pm 0.889 0.273 0.768
2 Pm 0.111 0.727 0.232
3 Y 0.753 0.424 0.343
4 Y 0.324 0.351 0.057
5 Y 0.247 0.576 0.657
6 Y 0.676 0.649 0.943
7 Tm 0.925 0.043 0.236
8 Tm 0.075 0.957 0.764
9 Tm 0.578 0.828 0.500
10 Tm 0.500 0.000 0.000
11 Tm 0.422 0.172 0.500

- calculated volume (A^3/atom) = 31.93
- total magnetization (μB per formula unit) = 0.00

Of them, arrangement ii has the highest stability.

Arrangement i

Computed, not measured: Pm3Y5Tm3 after structural relaxation at the GGA-PBE level of DFT.

Cell lengths 5.633, 9.662, 9.662 Å; angles 120.00, 90.00, 90.00 degrees
Sites, in units of the cell vectors:
1 Pm 0.000 0.466 0.466
2 Pm 0.000 0.534 0.000
3 Pm 0.000 0.000 0.534
4 Y 0.500 0.333 0.667
5 Y 0.500 0.667 0.333
6 Y 0.500 0.267 0.267
7 Y 0.500 0.000 0.733
8 Y 0.500 0.733 0.000
9 Tm 0.500 0.625 0.625
10 Tm 0.500 0.000 0.375
11 Tm 0.500 0.375 0.000

- calculated volume (A^3/atom) = 41.40
- total magnetization (μB per formula unit) = 0.00

Arrangement ii

Computed, not measured: Pm3Y5Tm3 after structural relaxation at the GGA-PBE level of DFT.

Cell lengths 3.450, 11.173, 11.173 Å; angles 120.00, 90.00, 90.00 degrees
Sites, in units of the cell vectors:
1 Pm 0.000 0.599 0.000
2 Pm 0.000 0.000 0.599
3 Pm 0.000 0.401 0.401
4 Y 0.500 0.667 0.333
5 Y 0.500 0.333 0.667
6 Y 0.500 0.339 0.000
7 Y 0.500 0.661 0.661
8 Y 0.500 0.000 0.339
9 Tm 0.500 0.842 0.000
10 Tm 0.500 0.158 0.158
11 Tm 0.500 0.000 0.842

- calculated volume (A^3/atom) = 33.91
- total magnetization (μB per formula unit) = 0.00

Of them, arrangement ii has the highest stability.

Arrangement i

Computed, not measured: PmY6Tm2 after structural relaxation at the GGA-PBE level of DFT.

Cell lengths 5.710, 11.848, 11.848 Å; angles 48.10, 103.91, 103.91 degrees
Sites, in units of the cell vectors:
1 Pm 0.250 0.250 0.750
2 Pm 0.750 0.750 0.250
3 Y 0.806 0.503 0.667
4 Y 0.694 0.333 0.497
5 Y 0.194 0.497 0.333
6 Y 0.306 0.667 0.503
7 Y 0.917 0.917 0.417
8 Y 0.583 0.583 0.083
9 Y 0.083 0.083 0.583
10 Y 0.417 0.417 0.917
11 Y 0.137 0.833 0.997
12 Y 0.363 0.003 0.167
13 Y 0.863 0.167 0.003
14 Y 0.637 0.997 0.833
15 Tm 0.031 0.668 0.832
16 Tm 0.469 0.168 0.332
17 Tm 0.969 0.332 0.168
18 Tm 0.531 0.832 0.668

- calculated volume (A^3/atom) = 31.98
- total magnetization (μB per formula unit) = 0.00

Arrangement ii

Computed, not measured: PmY6Tm2 after structural relaxation at the GGA-PBE level of DFT.

Cell lengths 5.038, 10.683, 10.684 Å; angles 90.00, 90.00, 90.00 degrees
Sites, in units of the cell vectors:
1 Pm 0.500 0.500 0.000
2 Pm 0.000 0.000 0.500
3 Y 0.000 0.000 0.167
4 Y 0.000 0.667 0.499
5 Y 0.000 0.667 0.833
6 Y 0.500 0.167 0.667
7 Y 0.500 0.167 0.001
8 Y 0.500 0.499 0.333
9 Y 0.000 0.000 0.833
10 Y 0.000 0.333 0.501
11 Y 0.000 0.333 0.167
12 Y 0.500 0.833 0.333
13 Y 0.500 0.833 0.999
14 Y 0.500 0.501 0.667
15 Tm 0.000 0.333 0.833
16 Tm 0.500 0.833 0.667
17 Tm 0.500 0.167 0.333
18 Tm 0.000 0.667 0.167

- calculated volume (A^3/atom) = 31.95
- total magnetization (μB per formula unit) = 0.00

Of them, arrangement ii has the highest stability.